# 1
{"formula": "Tb7Pm12Sc", "functional": "PBE-GGA", "state": "optimized geometry", "cell": [[6.060, 0.000, -1.247], [-3.159, 9.782, -5.116], [0.257, 0.000, 11.479]], "species": ["Pm", "Pm", "Pm", "Pm", "Pm", "Pm", "Pm", "Pm", "Pm", "Pm", "Pm", "Pm", "Tb", "Tb", "Tb", "Tb", "Tb", "Tb", "Tb", "Sc"], "frac_coords": [[0.500, 0.587, 0.413], [0.087, 0.174, 0.587], [0.581, 0.000, 0.647], [0.066, 0.647, 0.647], [0.934, 0.353, 0.353], [0.419, 0.000, 0.353], [0.913, 0.413, 0.826], [0.913, 0.826, 0.413], [0.581, 0.647, 0.000], [0.500, 0.413, 0.587], [0.087, 0.587, 0.174], [0.419, 0.353, 0.000], [0.880, 0.000, 0.242], [0.120, 0.000, 0.758], [0.500, 0.000, 0.000], [0.880, 0.242, 0.000], [0.638, 0.758, 0.758], [0.362, 0.242, 0.242], [0.120, 0.758, 0.000], [0.000, 0.000, 0.000]], "dft_energy_ev_per_cell": -91.59, "n_ef_per_ev_cell": 27.65}

# 2
{"formula": "CaMn4", "functional": "PBE-GGA", "state": "optimized geometry", "cell": [[2.652, 1.714, 4.313], [-4.658, 2.596, -0.376], [-0.915, -5.249, 0.440]], "species": ["Mn", "Mn", "Mn", "Mn", "Ca"], "frac_coords": [[0.000, 0.000, 0.500], [0.500, 0.500, 0.500], [0.500, 0.000, 0.000], [0.000, 0.500, 0.000], [0.000, 0.000, 0.000]], "dft_energy_ev_per_cell": -30.05, "n_ef_per_ev_cell": 7.67}

# 3
{"formula": "Pa3FePb", "functional": "PBE-GGA", "state": "optimized geometry", "cell": [[-0.703, 2.901, -4.070], [-4.921, -1.118, 0.053], [-0.871, 3.976, 2.984]], "species": ["Pa", "Pa", "Pa", "Pb", "Fe"], "frac_coords": [[0.500, 0.000, 0.000], [0.000, 0.500, 0.000], [0.000, 0.000, 0.500], [0.500, 0.500, 0.500], [0.000, 0.000, 0.000]], "dft_energy_ev_per_cell": -40.45, "n_ef_per_ev_cell": 12.60}